First-principles (GGA+U) data for a geometry-optimized Sr5Fe4MoO15 structure, as listed in the Alexandria database.

Geometry as POSCAR:
```
Sr5Fe4MoO15
1.0
-4.4170 -1.6564 2.9868
4.1703 -3.2503 4.3644
-3.0777 6.9634 4.5274
Sr Fe Mo O
5 4 1 15
direct
0.6000 0.6000 0.8001 Sr
0.2066 0.2029 0.5870 Sr
0.9934 0.9971 0.0130 Sr
0.3951 0.4085 0.2097 Sr
0.8049 0.7915 0.3903 Sr
0.9994 0.5078 0.0011 Fe
0.2006 0.6922 0.5988 Fe
0.3970 0.8994 0.2058 Fe
0.8030 0.3007 0.3942 Fe
0.6000 0.1000 0.8000 Mo
0.1000 0.6000 0.8000 O
0.0999 0.1000 0.3000 O
0.6000 0.1000 0.3000 O
0.6992 0.1912 0.6017 O
0.5008 0.0088 0.9983 O
0.9035 0.4001 0.1931 O
0.2965 0.7998 0.4069 O
0.5034 0.4965 0.5003 O
0.6966 0.7035 0.0997 O
0.9965 0.4965 0.5002 O
0.2036 0.7034 0.0997 O
0.8922 0.9029 0.7064 O
0.3079 0.2971 0.8936 O
0.4015 0.9028 0.7063 O
0.7985 0.2972 0.8936 O
```

Values from the calculation:
- crystal system = monoclinic
- final energy (Ry per atom) = -0.4838
- SG = No. 12